# 1
DFT (PBE-GGA) results for crystalline Fe2RhPb at its relaxed geometry.

Calculated values
Formation energy   0.26 eV per atom
Spin magnetization   6.00 μB per formula unit

```
data_Fe2RhPb
_chemical_formula_sum 'Fe2 Rh1 Pb1'
_space_group_name_H-M_alt 'P 4 m m'
_space_group_IT_number 99
_cell_length_a 3.1464
_cell_length_b 3.1464
_cell_length_c 6.3974
_cell_angle_alpha 90.00
_cell_angle_beta 90.00
_cell_angle_gamma 90.00
loop_
_space_group_symop_operation_xyz
'x,y,z'
'-y,x,z'
'-x,-y,z'
'y,-x,z'
'-x,y,z'
'y,x,z'
'x,-y,z'
'-y,-x,z'
loop_
_atom_site_label
_atom_site_type_symbol
_atom_site_fract_x
_atom_site_fract_y
_atom_site_fract_z
Fe1 Fe 0.0000 0.0000 0.0000
Fe2 Fe 0.5000 0.5000 0.1920
Rh1 Rh 0.5000 0.5000 0.7709
Pb1 Pb 0.0000 0.0000 0.4783
```


# 2
DFT (PBE-GGA) results for crystalline FeRh2Pb at its relaxed geometry.

Calculated values
Formation energy   0.13 eV per atom
Spin magnetization   3.89 μB per formula unit

```
data_FeRh2Pb
_chemical_formula_sum 'Fe2 Rh4 Pb2'
_space_group_name_H-M_alt 'C 1 2/m 1'
_space_group_IT_number 12
_cell_length_a 5.9669
_cell_length_b 7.0662
_cell_length_c 3.0780
_cell_angle_alpha 90.00
_cell_angle_beta 90.13
_cell_angle_gamma 90.00
loop_
_space_group_symop_operation_xyz
'x,y,z'
'-x,-y,-z'
'-x,y,-z'
'x,-y,z'
'x+1/2,y+1/2,z'
'-x+1/2,-y+1/2,-z'
'-x+1/2,y+1/2,-z'
'x+1/2,-y+1/2,z'
loop_
_atom_site_label
_atom_site_type_symbol
_atom_site_fract_x
_atom_site_fract_y
_atom_site_fract_z
Fe1 Fe 0.0000 0.0000 0.0000
Rh1 Rh 0.2500 0.2500 0.5000
Pb1 Pb 0.0000 0.5000 0.0000
```


# 3
DFT (PBE-GGA) results for crystalline Fe2RhPb at its relaxed geometry.

Calculated values
Formation energy   0.54 eV per atom
Spin magnetization   7.15 μB per formula unit

```
data_Fe2RhPb
_chemical_formula_sum 'Fe6 Rh3 Pb3'
_space_group_name_H-M_alt 'R -3 m'
_space_group_IT_number 166
_space_group_name_Hall '-R 3 2"'
_cell_length_a 3.0700
_cell_length_b 3.0700
_cell_length_c 25.3995
_cell_angle_alpha 90.00
_cell_angle_beta 90.00
_cell_angle_gamma 120.00
loop_
_atom_site_label
_atom_site_type_symbol
_atom_site_fract_x
_atom_site_fract_y
_atom_site_fract_z
Fe1 Fe 0.0000 0.0000 0.2398
Rh1 Rh 0.0000 0.0000 0.5000
Pb1 Pb 0.0000 0.0000 0.0000
```


# 4
DFT (PBE-GGA) results for crystalline FeRhPb2 at its relaxed geometry.

Calculated values
Energy above the lowest structure with this stoichiometry   0.88 eV/f.u.
Formation energy   0.37 eV per atom
Spin magnetization   2.63 μB per formula unit

```
data_FeRhPb2
_chemical_formula_sum 'Fe1 Rh1 Pb2'
_space_group_name_H-M_alt 'P 4/m m m'
_space_group_IT_number 123
_space_group_name_Hall '-P 4 2'
_cell_length_a 4.8090
_cell_length_b 4.8090
_cell_length_c 3.3524
_cell_angle_alpha 90.00
_cell_angle_beta 90.00
_cell_angle_gamma 90.00
loop_
_atom_site_label
_atom_site_type_symbol
_atom_site_fract_x
_atom_site_fract_y
_atom_site_fract_z
Fe1 Fe 0.0000 0.0000 0.0000
Rh1 Rh 0.5000 0.5000 0.0000
Pb1 Pb 0.0000 0.5000 0.5000
```


# 5
DFT (PBE-GGA) results for crystalline Fe2RhPb at its relaxed geometry.

Calculated values
Formation energy   0.29 eV per atom
Spin magnetization   5.85 μB per formula unit

```
data_Fe2RhPb
_chemical_formula_sum 'Fe4 Rh2 Pb2'
_space_group_name_H-M_alt 'C 1 m 1'
_space_group_IT_number 8
_cell_length_a 8.7703
_cell_length_b 3.0715
_cell_length_c 4.8814
_cell_angle_alpha 90.00
_cell_angle_beta 104.44
_cell_angle_gamma 90.00
loop_
_space_group_symop_operation_xyz
'x,y,z'
'x,-y,z'
'x+1/2,y+1/2,z'
'x+1/2,-y+1/2,z'
loop_
_atom_site_label
_atom_site_type_symbol
_atom_site_fract_x
_atom_site_fract_y
_atom_site_fract_z
Fe1 Fe 0.0000 0.0000 0.0000
Fe2 Fe 0.2220 0.5000 0.2020
Rh1 Rh 0.4669 0.0000 0.4222
Pb1 Pb 0.2332 0.0000 0.7159
```


# 6
DFT (PBE-GGA) results for crystalline Fe2RhPb at its relaxed geometry.

Calculated values
Formation energy   0.38 eV per atom
Spin magnetization   6.86 μB per formula unit

```
data_Fe2RhPb
_chemical_formula_sum 'Fe2 Rh1 Pb1'
_space_group_name_H-M_alt 'P 4/m m m'
_space_group_IT_number 123
_space_group_name_Hall '-P 4 2'
_cell_length_a 3.0141
_cell_length_b 3.0141
_cell_length_c 7.4164
_cell_angle_alpha 90.00
_cell_angle_beta 90.00
_cell_angle_gamma 90.00
loop_
_atom_site_label
_atom_site_type_symbol
_atom_site_fract_x
_atom_site_fract_y
_atom_site_fract_z
Fe1 Fe 0.0000 0.0000 0.2037
Rh1 Rh 0.5000 0.5000 0.0000
Pb1 Pb 0.5000 0.5000 0.5000
```


# 7
DFT (PBE-GGA) results for crystalline FeRhPb2 at its relaxed geometry.

Calculated values
Energy above the lowest structure with this stoichiometry   1.16 eV/f.u.
Formation energy   0.44 eV per atom
Spin magnetization   2.61 μB per formula unit

```
data_FeRhPb2
_chemical_formula_sum 'Fe2 Rh2 Pb4'
_space_group_name_H-M_alt 'I -4 m 2'
_space_group_IT_number 119
_space_group_name_Hall 'I -4 -2'
_cell_length_a 4.0070
_cell_length_b 4.0070
_cell_length_c 9.9214
_cell_angle_alpha 90.00
_cell_angle_beta 90.00
_cell_angle_gamma 90.00
loop_
_atom_site_label
_atom_site_type_symbol
_atom_site_fract_x
_atom_site_fract_y
_atom_site_fract_z
Fe1 Fe 0.0000 0.0000 0.0000
Rh1 Rh 0.0000 0.5000 0.2500
Pb1 Pb 0.0000 0.0000 0.5000
Pb2 Pb 0.0000 0.5000 0.7500
```


# 8
DFT (PBE-GGA) results for crystalline FeRh2Pb at its relaxed geometry.

Calculated values
Formation energy   0.45 eV per atom
Spin magnetization   3.83 μB per formula unit

```
data_FeRh2Pb
_chemical_formula_sum 'Fe3 Rh6 Pb3'
_space_group_name_H-M_alt 'R 3 m'
_space_group_IT_number 160
_space_group_name_Hall 'R 3 -2"'
_cell_length_a 3.0514
_cell_length_b 3.0514
_cell_length_c 25.5474
_cell_angle_alpha 90.00
_cell_angle_beta 90.00
_cell_angle_gamma 120.00
loop_
_atom_site_label
_atom_site_type_symbol
_atom_site_fract_x
_atom_site_fract_y
_atom_site_fract_z
Fe1 Fe 0.0000 0.0000 0.0000
Rh1 Rh 0.0000 0.0000 0.4857
Rh2 Rh 0.0000 0.0000 0.7357
Pb1 Pb 0.0000 0.0000 0.2397
```